The following is a DFT calculation (PBE-GGA) of a relaxed Er2ZnCl crystal.

## Properties
The value obtained for the formation energy without anion corrections is -0.3027 eV/atom. For the volume, the calculation gives 25.90 A^3/atom. The offset from the most stable computed form is 9.871 kcal/mol of atoms. The total energy comes out at -0.124 Ha/atom. For the size of the total moment, the calculation gives 0.0 Bohr magnetons per cell.

Structure (CIF):
```
data_Er2ZnCl
_cell_length_a 3.3876
_cell_length_b 3.3876
_cell_length_c 31.2722
_cell_angle_alpha 90.00
_cell_angle_beta 90.00
_cell_angle_gamma 120.00
_symmetry_space_group_name_H-M 'R -3 m'
_symmetry_Int_Tables_number 166
_symmetry_space_group_name_Hall '-R 3 2"'
loop_
_atom_site_label
_atom_site_type_symbol
_atom_site_fract_x
_atom_site_fract_y
_atom_site_fract_z
Er1 Er 0.0000 0.0000 0.0954
Zn1 Zn 0.0000 0.0000 0.0000
Cl1 Cl 0.0000 0.0000 0.5000
```